Density functional theory data (PBE with a Hubbard U) for RuWN2O after structural relaxation.

Values from the calculation:
Total energy = -0.5224 Ry/atom

Structure (POSCAR):
```
RuWN2O
1.0
4.001 0.000 0.000
0.000 4.001 0.000
0.000 0.000 3.892
Ru W N O
1 1 2 1
Direct
0.000 0.000 0.000
0.500 0.500 0.500
0.000 0.500 0.500
0.500 0.000 0.500
0.500 0.500 0.000
```